Dy6PdSe3S2 | PBE-GGA | optimized geometry

Summary:
Calculated density in Mg/m³: 8.2
Raw formation energy in eV per formula unit: -20.2

Lattice parameters (Å, degrees): 17.686 3.958 8.185 90.00 103.71 90.00
Space group C2/m (No. 12)
Symmetry-distinct sites (fractional):
Dy 0.004 0.000 0.242
Dy 0.166 0.500 0.097
Dy 0.171 0.500 0.572
Pd 0.000 0.500 0.000
Se 0.000 0.500 0.500
Se 0.167 0.000 0.831
S 0.168 0.000 0.336

Nd2Sm2Te2Se3 | PBE-GGA | optimized geometry

Summary:
Calculated density in Mg/m³: 6.9
Raw formation energy in eV per formula unit: -13.2

Lattice parameters (Å, degrees): 5.726 5.726 15.932 90.00 90.00 90.00
Space group I4/mmm (No. 139)
Symmetry-distinct sites (fractional):
Nd 0.000 0.000 0.196
Sm 0.000 0.500 0.000
Te 0.000 0.000 0.395
Se 0.000 0.000 0.000
Se 0.000 0.500 0.250

Mo2AsPt | PBE-GGA | optimized geometry

Summary:
Formation enthalpy at 0 K in eV per atom: 0.09
Calculated density in Mg/m³: 12.2

Lattice parameters (Å, degrees): 3.912 3.912 8.186 90.00 90.00 90.00
Space group I-4m2 (No. 119)
Symmetry-distinct sites (fractional):
Mo 0.000 0.000 0.000
Mo 0.000 0.500 0.250
As 0.000 0.000 0.500
Pt 0.000 0.500 0.750

La5Nd2SmHo | PBE-GGA | optimized geometry

Summary:
Formation enthalpy at 0 K in eV per atom: 0.27
Calculated density in Mg/m³: 6.7

Lattice parameters (Å, degrees): 8.997 8.997 15.995 90.00 90.00 90.00
Space group I4/mcm (No. 140)
Symmetry-distinct sites (fractional):
La 0.000 0.000 0.000
La 0.212 0.288 0.141
Nd 0.117 0.383 0.500
Sm 0.000 0.000 0.250
Ho 0.000 0.500 0.250

Going through the records in order, we get total magnetic moment values of 0.00 0.00 0.27 0.00 μB/f.u..